[1]
The following is a PBE-GGA calculation of a relaxed AlBPS2 crystal, from Alexandria.

Cell: 4.6965 4.6965 4.0469 Å, 90.00 90.00 90.00°
Closest atoms and distances in Å follow each position.
Space group P4/mmm (No. 123)
Unique sites:
Al  0.0000  0.0000  0.0000  2 B 2.02
B  0.0000  0.0000  0.5000  2 Al 2.02
P  0.5000  0.5000  0.5000  8 S 3.10, 4 B 3.32
S  0.0000  0.5000  0.0000  2 Al 2.35

Summary:
The calculation puts the total energy at -3.850 eV per atom. Its excess energy over the best structure of this formula in the dataset is 347 meV per atom.


[2]
The following is a PBE-GGA calculation of a relaxed MgAl2Rh crystal, from Alexandria.

Cell: 5.4434 7.8608 2.9162 Å, 90.00 90.00 90.00°
Closest atoms and distances in Å follow each position.
Space group Cmmm (No. 65)
Unique sites:
Mg  0.0000  0.0000  0.0000  2 Rh 2.72, 8 Al 2.80, 2 Mg 2.92
Al  0.2500  0.2500  0.5000  4 Al 2.72-2.92, 4 Rh 2.80, 4 Mg 2.80
Rh  0.0000  0.5000  0.0000  2 Mg 2.72, 8 Al 2.80, 2 Rh 2.92

Summary:
Its calculated formation energy is -369 meV/atom. The calculation puts the total energy at -4.477 eV per atom.


[3]
The following is a PBE-GGA calculation of a relaxed SmThCdCu crystal, from Alexandria.

Cell: 7.4199 7.4199 7.4199 Å, 90.00 90.00 90.00°
Closest atoms and distances in Å follow each position.
Space group F-43m (No. 216)
Unique sites:
Sm  0.0000  0.0000  0.0000  4 Cd 3.21, 4 Cu 3.21
Th  0.0000  0.0000  0.5000  4 Cu 3.21, 4 Cd 3.21
Cd  0.2500  0.2500  0.7500  4 Th 3.21, 4 Sm 3.21
Cu  0.2500  0.2500  0.2500  4 Th 3.21, 4 Sm 3.21

Summary:
Its calculated formation energy is -71 meV/atom. The calculation puts the total energy at -4.358 eV per atom.


[4]
The following is a PBE-GGA calculation of a relaxed CeGd2Zr crystal, from Alexandria.

Cell: 4.8298 4.8298 4.9304 Å, 90.00 90.00 90.00°
Closest atoms and distances in Å follow each position.
Space group P4/mmm (No. 123)
Unique sites:
Ce  0.0000  0.0000  0.0000  4 Zr 3.42, 8 Gd 3.45
Gd  0.0000  0.5000  0.5000  4 Gd 3.42, 4 Zr 3.45, 4 Ce 3.45
Zr  0.5000  0.5000  0.0000  4 Ce 3.42, 8 Gd 3.45

Summary:
Its calculated formation energy is 130 meV/atom. The calculation puts the total energy at -10.531 eV per atom. Its excess energy over the best structure of this formula in the dataset is 10 meV per atom.


[5]
The following is a PBE-GGA calculation of a relaxed Sr3ThTl12 crystal, from Alexandria.

Cell: 4.9478 4.9478 19.7021 Å, 90.00 90.00 90.00°
Closest atoms and distances in Å follow each position.
Space group P4/mmm (No. 123)
Unique sites:
Sr  0.0000  0.0000  0.0000  12 Tl 3.50-3.52
Sr  0.0000  0.0000  0.2551  12 Tl 3.48-3.53
Th  0.0000  0.0000  0.5000  12 Tl 3.43-3.50
Tl  0.0000  0.5000  0.1273  8 Tl 3.46-3.52, 4 Sr 3.52-3.53
Tl  0.0000  0.5000  0.3792  8 Tl 3.43-3.55, 2 Th 3.43, 2 Sr 3.48
Tl  0.5000  0.5000  0.0000  4 Sr 3.50, 8 Tl 3.52
Tl  0.5000  0.5000  0.2502  8 Tl 3.46-3.55, 4 Sr 3.50
Tl  0.5000  0.5000  0.5000  8 Tl 3.43, 4 Th 3.50

Summary:
Its calculated formation energy is -221 meV/atom. The calculation puts the total energy at -2.775 eV per atom.


[6]
The following is a PBE-GGA calculation of a relaxed DyY7Er5 crystal, from Alexandria.

Cell: 6.6448 11.1746 11.5230 Å, 90.00 90.00 90.00°
Closest atoms and distances in Å follow each position.
Space group Imm2 (No. 44)
Unique sites:
Dy  0.0000  0.0000  0.0000  7 Y 3.53-3.89, 4 Er 3.69
Y  0.0000  0.0000  0.3823  9 Y 3.59-3.99, 4 Er 3.72
Y  0.0000  0.0000  0.6936  6 Er 3.32-3.52, 1 Dy 3.53, 1 Y 3.59
Y  0.0000  0.3262  0.9388  5 Er 3.43-3.45, 3 Y 3.46-3.76, 1 Dy 3.71
Y  0.0000  0.3304  0.4375  5 Er 3.45-3.47, 5 Y 3.47-3.79
Y  0.0000  0.5000  0.6899  4 Er 3.10, 4 Y 3.46-3.47
Er  0.0000  0.5000  0.1851  6 Y 3.32-3.47, 4 Er 3.41
Er  0.2329  0.2278  0.1892  2 Er 3.09-3.41, 5 Y 3.10-3.46

Summary:
Its calculated formation energy is 247 meV/atom. The calculation puts the total energy at -5.342 eV per atom.


Number 1: size of the total moment 0.00 μB/atom. Number 2: size of the total moment 0.00 μB/atom. Number 3: size of the total moment 0.00 μB/atom. Number 4: size of the total moment 3.41 μB/atom. Number 5: size of the total moment 0.00 μB/atom. Number 6: size of the total moment 0.00 μB/atom.